This record from Alexandria via LeMat-Bulk describes a relaxed Pa2ZnCrN6 crystal. The functional is PBE.

POSCAR file:
```
Pa2ZnCrN6
1.0
-2.417 0.281 4.724
1.313 -5.545 1.002
6.499 2.107 3.142
Pa Zn Cr N
4 2 2 12
Direct
0.020 0.916 0.247
0.520 0.584 0.747
0.980 0.084 0.753
0.480 0.416 0.253
0.500 0.000 0.500
0.000 0.500 0.000
0.500 0.000 0.000
0.000 0.500 0.500
0.338 0.705 0.067
0.838 0.795 0.567
0.662 0.295 0.933
0.162 0.205 0.433
0.305 0.669 0.444
0.805 0.831 0.944
0.695 0.331 0.556
0.195 0.169 0.056
0.881 0.548 0.260
0.381 0.952 0.760
0.119 0.452 0.740
0.619 0.048 0.240
```

Summary:
DFT total energy: -8.766 eV/atom
Density of states at the Fermi level: 0.21 states/eV/atom
M_tot: 0.0 μB per formula unit
Formation energy without anion corrections: -0.782 eV/atom

***

This record from Alexandria via LeMat-Bulk describes a relaxed Pa2Zn2CrN6 crystal. The functional is PBE.

POSCAR file:
```
Pa2Zn2CrN6
1.0
-2.839 4.774 -2.053
2.594 -3.897 -3.625
-4.218 -2.749 0.583
Pa Zn Cr N
2 2 1 6
Direct
0.341 0.659 0.500
0.659 0.341 0.500
0.869 0.131 0.000
0.131 0.869 0.000
0.000 0.000 0.500
0.752 0.752 0.724
0.023 0.351 0.709
0.248 0.248 0.276
0.351 0.023 0.709
0.977 0.649 0.291
0.649 0.977 0.291
```

Summary:
DFT total energy: -8.017 eV/atom
Density of states at the Fermi level: 0.40 states/eV/atom
M_tot: 2.0 μB per formula unit
Formation energy without anion corrections: -0.643 eV/atom

***

- Look up the M_tot of the first one.
  0.0 μB per formula unit